Record 1
The following is a DFT calculation (PBE-GGA) of ThZnCoRh after structural relaxation.

Cell: 6.550 6.550 6.550 Å, 90.00 90.00 90.00°
Space group F-43m (No. 216)
Symmetry-distinct sites (fractional):
Th1 0.000 0.000 0.000 (multiplicity 4)
Zn1 0.000 0.000 0.500 (multiplicity 4)
Co1 0.250 0.250 0.250 (multiplicity 4)
Rh1 0.250 0.250 0.750 (multiplicity 4)

Results
Calculated formation energy: -358 meV per atom

***

Record 2
The following is a DFT calculation (PBE-GGA) of Dy2HRu after structural relaxation.

Cell: 3.5682 3.5682 20.2423 Å, 90.00 90.00 120.00°
Space group R-3m (No. 166, hexagonal axes)
Symmetry-distinct sites (fractional):
Dy1 0.0000 0.0000 0.2403 (multiplicity 6)
H1 0.0000 0.0000 0.5000 (multiplicity 3)
Ru1 0.0000 0.0000 0.0000 (multiplicity 3)

Results
Excess energy over the best structure of this formula in the dataset: 1.663 kcal/mol of atoms

***

Record 3
The following is a DFT calculation (PBE-GGA) of CsSc3Hg after structural relaxation.

Cell: 5.546 5.546 5.546 Å, 90.00 90.00 90.00°
Space group Pm-3m (No. 221)
Symmetry-distinct sites (fractional):
Cs1 0.000 0.000 0.000 (multiplicity 1)
Sc1 0.000 0.500 0.500 (multiplicity 3)
Hg1 0.500 0.500 0.500 (multiplicity 1)

Results
Excess energy over the best structure of this formula in the dataset: 0.000 kcal/mol of atoms
Calculated formation energy: 486 meV per atom

***

Record 4
The following is a DFT calculation (PBE-GGA) of Zr2HgCl after structural relaxation.

Cell: 3.192 3.741 7.160 Å, 90.00 90.11 90.00°
Space group P2/m (No. 10)
Symmetry-distinct sites (fractional):
Zr1 0.001 0.000 0.254 (multiplicity 2)
Hg1 0.500 0.500 0.000 (multiplicity 1)
Cl1 0.000 0.500 0.500 (multiplicity 1)

Results
Raw formation energy: -0.395 eV/atom
Excess energy over the best structure of this formula in the dataset: 3.439 kcal/mol of atoms

***

Record 5
The following is a DFT calculation (PBE-GGA) of La11Tb9Sc4 after structural relaxation.

Cell: 17.089 25.784 3.639 Å, 90.00 90.00 90.00°
Space group Cmmm (No. 65)
Symmetry-distinct sites (fractional):
La1 0.000 0.000 0.000 (multiplicity 2)
La2 0.000 0.159 0.000 (multiplicity 4)
La3 0.000 0.371 0.000 (multiplicity 4)
La4 0.201 0.500 0.000 (multiplicity 4)
La5 0.225 0.180 0.000 (multiplicity 8)
Tb1 0.000 0.500 0.500 (multiplicity 2)
Tb2 0.102 0.269 0.500 (multiplicity 8)
Tb3 0.146 0.071 0.500 (multiplicity 8)
Sc1 0.157 0.397 0.500 (multiplicity 8)

Results
Calculated formation energy: 70 meV per atom

***

Record 6
The following is a DFT calculation (PBE-GGA) of YEr12Tl6 after structural relaxation.

Cell: 13.9439 13.9439 11.0376 Å, 90.00 90.00 120.00°
Space group R-3m (No. 166, hexagonal axes)
Symmetry-distinct sites (fractional):
Y1 0.0000 0.0000 0.0000 (multiplicity 3)
Er1 0.0000 0.3695 0.5000 (multiplicity 18)
Er2 0.0881 0.1763 0.3581 (multiplicity 18)
Tl1 0.0322 0.5161 0.2786 (multiplicity 18)

Results
Calculated formation energy: 23 meV per atom

***

Record 7
The following is a DFT calculation (PBE-GGA) of HfGaRu3 after structural relaxation.

Cell: 4.490 4.490 4.490 Å, 90.00 90.00 90.00°
Space group Pm-3m (No. 221)
Symmetry-distinct sites (fractional):
Hf1 0.000 0.000 0.000 (multiplicity 1)
Ga1 0.500 0.500 0.500 (multiplicity 1)
Ru1 0.000 0.500 0.500 (multiplicity 3)

Results
Excess energy over the best structure of this formula in the dataset: 0.000 kcal/mol of atoms
Calculated formation energy: 610 meV per atom

***

Record 8
The following is a DFT calculation (PBE-GGA) of Be3NbB after structural relaxation.

Cell: 3.675 3.675 3.675 Å, 90.00 90.00 90.00°
Space group Pm-3m (No. 221)
Symmetry-distinct sites (fractional):
Be1 0.000 0.000 0.500 (multiplicity 3)
Nb1 0.500 0.500 0.500 (multiplicity 1)
B1 0.000 0.000 0.000 (multiplicity 1)

Results
Excess energy over the best structure of this formula in the dataset: 14.370 kcal/mol of atoms
Calculated formation energy: 269 meV per atom